This record from OQMD describes a geometry-optimized CdTe2O5 structure. The functional is PBE.

Cell and atoms, written as POSCAR:
```
CdTe2O5
1.0
4.086 -5.717 0.000
4.086 5.717 0.000
-2.647 0.000 5.239
Cd Te O
2 4 10
Cartesian
2.100 4.622 3.929 Cd
3.424 -4.622 1.310 Cd
0.405 1.545 4.883 Te
1.729 -1.545 2.263 Te
3.796 1.545 2.976 Te
5.119 -1.545 0.357 Te
5.291 -3.345 0.963 O
0.233 3.345 4.276 O
-0.563 0.690 3.550 O
0.761 -0.690 0.930 O
2.100 1.170 3.929 O
3.968 3.345 3.583 O
1.557 -3.345 1.656 O
3.424 -1.170 1.310 O
4.764 0.690 4.309 O
6.087 -0.690 1.689 O
```

Properties
Raw total energy = -5.025 eV/atom
Relative energy among the computed polymorphs = 50 meV/atom
Symmetry = C2/c